1.
Er3MgSn2: relaxed, PBE.

Properties
Space-group type   Ibam
Total DFT energy (no corrections)   -52.29 eV per cell
D(E_F)   7.63 states/eV/f.u.
Magnetic moment   0.0 μB/f.u.
Crystal system   orthorhombic
ΔH_f (0 K)   -0.476 eV/atom

Cell: 9.313 9.313 9.313 Å, 140.31 57.12 140.65°
Atoms (fractional coordinates):
Er: 0.176 0.739 0.915
Er: 0.250 0.250 0.000
Er: 0.324 0.239 0.563
Er: 0.676 0.761 0.437
Er: 0.750 0.750 0.000
Er: 0.824 0.261 0.085
Mg: 0.250 0.750 0.500
Mg: 0.750 0.250 0.500
Sn: 0.136 0.244 0.380
Sn: 0.364 0.744 0.108
Sn: 0.636 0.256 0.892
Sn: 0.864 0.756 0.620

2.
Er5Mg2Sn: relaxed, PBE.

Properties
Space-group type   I4/mcm
Total DFT energy (no corrections)   -62.54 eV per cell
D(E_F)   8.72 states/eV/f.u.
Magnetic moment   0.0 μB/f.u.
Crystal system   tetragonal
ΔH_f (0 K)   -0.158 eV/atom

Cell: 8.724 8.724 8.724 Å, 123.02 123.02 84.84°
Atoms (fractional coordinates):
Er: 0.000 0.000 0.000
Er: 0.003 0.503 0.192
Er: 0.189 0.997 0.500
Er: 0.311 0.811 0.808
Er: 0.497 0.689 0.500
Er: 0.500 0.500 0.000
Er: 0.503 0.311 0.500
Er: 0.689 0.189 0.192
Er: 0.811 0.003 0.500
Er: 0.997 0.497 0.808
Mg: 0.137 0.363 0.500
Mg: 0.363 0.863 0.225
Mg: 0.637 0.137 0.775
Mg: 0.863 0.637 0.500
Sn: 0.250 0.250 0.000
Sn: 0.750 0.750 0.000

3.
ErMg3Sn6: relaxed, PBE.

Properties
Space-group type   P2_1/m
Total DFT energy (no corrections)   -70.59 eV per cell
D(E_F)   4.27 states/eV/f.u.
Magnetic moment   0.0 μB/f.u.
Crystal system   monoclinic
ΔH_f (0 K)   -0.193 eV/atom

Cell: 10.138 4.482 11.016 Å, 90.00 92.96 90.00°
Atoms (fractional coordinates):
Er: 0.057 0.250 0.378
Er: 0.943 0.750 0.622
Mg: 0.254 0.250 0.000
Mg: 0.353 0.750 0.802
Mg: 0.451 0.250 0.597
Mg: 0.549 0.750 0.403
Mg: 0.647 0.250 0.198
Mg: 0.746 0.750 0.000
Sn: 0.067 0.750 0.901
Sn: 0.155 0.750 0.192
Sn: 0.168 0.250 0.690
Sn: 0.254 0.750 0.501
Sn: 0.363 0.250 0.304
Sn: 0.450 0.750 0.097
Sn: 0.550 0.250 0.903
Sn: 0.637 0.750 0.696
Sn: 0.746 0.250 0.499
Sn: 0.832 0.750 0.310
Sn: 0.845 0.250 0.808
Sn: 0.933 0.250 0.099

4.
ErMg5Sn6: relaxed, PBE.

Properties
Space-group type   Cmmm
Total DFT energy (no corrections)   -39.10 eV per cell
D(E_F)   4.66 states/eV/f.u.
Magnetic moment   0.0 μB/f.u.
Crystal system   orthorhombic
ΔE to the lowest computed polymorph   0.000 eV per formula unit
ΔH_f (0 K)   -0.213 eV/atom

Cell: 7.636 7.636 8.691 Å, 90.00 90.00 144.96°
Atoms (fractional coordinates):
Er: 0.000 0.000 0.000
Mg: 0.000 0.000 0.500
Mg: 0.332 0.668 0.000
Mg: 0.334 0.666 0.500
Mg: 0.666 0.334 0.500
Mg: 0.668 0.332 0.000
Sn: 0.167 0.833 0.253
Sn: 0.167 0.833 0.747
Sn: 0.500 0.500 0.258
Sn: 0.500 0.500 0.742
Sn: 0.833 0.167 0.253
Sn: 0.833 0.167 0.747

5.
Er4MgSn: relaxed, PBE.

Properties
Space-group type   Cmc2_1
Total DFT energy (no corrections)   -47.74 eV per cell
D(E_F)   7.48 states/eV/f.u.
Magnetic moment   0.0 μB/f.u.
Crystal system   orthorhombic
ΔH_f (0 K)   -0.003 eV/atom

Cell: 11.422 11.422 6.525 Å, 90.00 90.00 153.36°
Atoms (fractional coordinates):
Er: 0.072 0.928 0.500
Er: 0.205 0.795 0.748
Er: 0.206 0.794 0.258
Er: 0.358 0.642 0.504
Er: 0.642 0.358 0.004
Er: 0.794 0.206 0.758
Er: 0.795 0.205 0.248
Er: 0.928 0.072 0.000
Mg: 0.069 0.931 0.000
Mg: 0.931 0.069 0.500
Sn: 0.340 0.660 0.003
Sn: 0.660 0.340 0.503

6.
ErMg7Sn4: relaxed, PBE.

Properties
Space-group type   C2/m
Total DFT energy (no corrections)   -31.28 eV per cell
D(E_F)   4.64 states/eV/f.u.
Magnetic moment   0.0 μB/f.u.
Crystal system   monoclinic
ΔH_f (0 K)   0.038 eV/atom

Cell: 6.847 6.847 10.619 Å, 120.76 120.76 49.33°
Atoms (fractional coordinates):
Er: 0.000 0.000 0.000
Mg: 0.082 0.082 0.419
Mg: 0.295 0.295 0.358
Mg: 0.314 0.314 0.097
Mg: 0.500 0.500 0.000
Mg: 0.686 0.686 0.903
Mg: 0.705 0.705 0.642
Mg: 0.918 0.918 0.581
Sn: 0.205 0.205 0.772
Sn: 0.401 0.401 0.682
Sn: 0.599 0.599 0.318
Sn: 0.795 0.795 0.228